<w>
{
  "formula": "VSnPO2",
  "functional": "GGA+U",
  "state": "optimized geometry",
  "lattice_angstrom": [[3.940, 0.000, 0.000], [0.000, 3.940, 0.000], [0.000, 0.000, 5.503]],
  "species": ["P", "Sn", "O", "O", "V"],
  "fractional_positions": [[0.000, 0.000, 0.500], [0.000, 0.000, 0.000], [0.000, 0.500, 0.000], [0.500, 0.000, 0.000], [0.500, 0.500, 0.500]],
  "volume_a3_per_cell": 85.4,
  "total_magnetization_mub_per_fu": 2.112,
  "space_group": "No. 123"
}

<x>
{
  "formula": "VSnPO2",
  "functional": "GGA+U",
  "state": "optimized geometry",
  "lattice_angstrom": [[3.804, 0.000, 0.000], [0.000, 3.804, 0.000], [0.000, 0.000, 5.163]],
  "species": ["P", "Sn", "O", "O", "V"],
  "fractional_positions": [[0.000, 0.000, 0.500], [0.500, 0.500, 0.500], [0.000, 0.500, 0.000], [0.500, 0.000, 0.000], [0.000, 0.000, 0.000]],
  "volume_a3_per_cell": 74.7,
  "total_magnetization_mub_per_fu": 0.990,
  "space_group": "No. 123"
}

Ranking the structures above by stability puts <x> first and <w> last.